1.
Density functional theory data (PBE) for a geometry-optimized NbBi2Au structure. Values from VASP.

Quantum ESPRESSO input file:
```
&SYSTEM
  ibrav = 0, nat = 4, ntyp = 3
/
ATOMIC_SPECIES
Bi 208.98 Bi.upf
Nb 92.91 Nb.upf
Au 196.97 Au.upf
CELL_PARAMETERS angstrom
3.1525 0.0000 0.0000
1.5763 2.7302 0.0000
1.5763 0.9101 11.6848
ATOMIC_POSITIONS crystal
Bi 0.0861 0.0861 0.7416
Nb 0.0000 0.0000 0.0000
Bi 0.9139 0.9139 0.2584
Au 0.5000 0.5000 0.5000
```

## Properties
Spin magnetization, Bohr magnetons per cell: 0.00
DOS(E_F), states/eV/cell: 3.10
Symmetry: No. 166
Electronic total energy, eV per atom: -4.66

2.
Density functional theory data (PBE) for a geometry-optimized Li2CuAu structure. Values from VASP.

Quantum ESPRESSO input file:
```
&SYSTEM
  ibrav = 0, nat = 8, ntyp = 3
/
ATOMIC_SPECIES
Cu 63.55 Cu.upf
Au 196.97 Au.upf
Li 6.94 Li.upf
CELL_PARAMETERS angstrom
4.9007 0.1173 -2.0885
1.9335 4.5953 -0.8240
-0.5667 -0.0587 5.4642
ATOMIC_POSITIONS crystal
Cu 0.2994 0.7500 0.0989
Au 0.8141 0.7500 0.1282
Li 0.6865 0.2660 0.3793
Au 0.1859 0.2500 0.8718
Li 0.3135 0.7340 0.6207
Li 0.8072 0.7660 0.6207
Cu 0.7006 0.2500 0.9011
Li 0.1928 0.2340 0.3793
```

## Properties
Spin magnetization, Bohr magnetons per cell: 0.00
DOS(E_F), states/eV/cell: 2.81
Symmetry: No. 15
Electronic total energy, eV per atom: -3.06

3.
Density functional theory data (PBE) for a geometry-optimized Th2AlH structure. Values from VASP.

Quantum ESPRESSO input file:
```
&SYSTEM
  ibrav = 0, nat = 4, ntyp = 3
/
ATOMIC_SPECIES
Th 232.04 Th.upf
H 1.01 H.upf
Al 26.98 Al.upf
CELL_PARAMETERS angstrom
3.4882 0.0000 0.0000
1.7441 3.0208 0.0000
1.7441 1.0069 8.2589
ATOMIC_POSITIONS crystal
Th 0.7684 0.7684 0.6948
H 0.5000 0.5000 0.5000
Al 0.0000 0.0000 0.0000
Th 0.2316 0.2316 0.3052
```

## Properties
Spin magnetization, Bohr magnetons per cell: 0.00
DOS(E_F), states/eV/cell: 4.08
Symmetry: No. 166
Electronic total energy, eV per atom: -5.63

4.
Density functional theory data (PBE) for a geometry-optimized Tb3Pr2Y7 structure. Values from VASP.

Quantum ESPRESSO input file:
```
&SYSTEM
  ibrav = 0, nat = 12, ntyp = 3
/
ATOMIC_SPECIES
Pr 140.91 Pr.upf
Tb 158.93 Tb.upf
Y 88.91 Y.upf
CELL_PARAMETERS angstrom
-1.6376 0.5998 -3.1661
-2.7299 -5.1425 0.4377
-13.7636 9.3702 8.8939
ATOMIC_POSITIONS crystal
Pr 0.5000 0.7044 0.2938
Pr 0.5000 0.2956 0.7062
Tb 0.0000 0.7804 0.6307
Y 0.0000 0.0000 0.0000
Y 0.5000 0.1835 0.1752
Y 0.5000 0.2582 0.5379
Y 0.5000 0.8165 0.8248
Y 0.5000 0.7418 0.4621
Y 0.0000 0.3197 0.8584
Tb 0.5000 0.5000 0.0000
Tb 0.0000 0.2196 0.3693
Y 0.0000 0.6803 0.1416
```

## Properties
Spin magnetization, Bohr magnetons per cell: 0.00
DOS(E_F), states/eV/cell: 15.28
Symmetry: No. 10
Electronic total energy, eV per atom: -5.64